(1)
Here is a relaxed structure of Al2Ga2Sn from the Alexandria database. Energies are from PBEsol.

Cell and atoms, written as POSCAR:
```
Al2Ga2Sn
1.0
8.050 0.000 0.000
0.000 8.050 0.000
0.000 0.000 2.913
Al Ga Sn
4 4 2
Direct
0.135 0.365 0.000
0.365 0.865 0.000
0.635 0.135 0.000
0.865 0.635 0.000
0.160 0.660 0.500
0.340 0.160 0.500
0.660 0.840 0.500
0.840 0.340 0.500
0.000 0.000 0.500
0.500 0.500 0.500
```

* formation energy from the elements: 5.5 kJ/mol of atoms
* total magnetic moment: 0.00 μB/f.u.
* E: -3.77 eV per atom

---

(2)
Here is a relaxed structure of Al2Ga2Sn from the Alexandria database. Energies are from PBEsol.

Cell and atoms, written as POSCAR:
```
Al2Ga2Sn
1.0
-2.101 2.101 5.531
2.101 -2.101 5.531
2.101 2.101 -5.531
Al Ga Sn
2 2 1
Direct
0.250 0.750 0.500
0.750 0.250 0.500
0.110 0.110 0.000
0.890 0.890 0.000
0.500 0.500 0.000
```

* formation energy from the elements: 5.6 kJ/mol of atoms
* total magnetic moment: 0.00 μB/f.u.
* E: -3.77 eV per atom

---

(3)
Here is a relaxed structure of Al2GaSn from the Alexandria database. Energies are from PBEsol.

Cell and atoms, written as POSCAR:
```
Al2GaSn
1.0
0.000 3.401 3.401
3.401 0.000 3.401
3.401 3.401 0.000
Al Ga Sn
2 1 1
Direct
0.250 0.250 0.250
0.750 0.750 0.750
0.000 0.000 0.000
0.500 0.500 0.500
```

* relative energy among the computed polymorphs: 0 meV/atom
* formation energy from the elements: 14.0 kJ/mol of atoms
* total magnetic moment: 0.00 μB/f.u.
* E: -3.80 eV per atom

---

(4)
Here is a relaxed structure of AlGaSn3 from the Alexandria database. Energies are from PBEsol.

Cell and atoms, written as POSCAR:
```
AlGaSn3
1.0
5.216 0.000 0.000
0.000 5.216 0.000
0.000 0.000 5.216
Al Ga Sn
1 1 3
Direct
0.000 0.000 0.000
0.500 0.500 0.500
0.000 0.500 0.500
0.500 0.000 0.500
0.500 0.500 0.000
```

* formation energy from the elements: 55.1 kJ/mol of atoms
* total magnetic moment: 0.00 μB/f.u.
* E: -3.47 eV per atom

---

(5)
Here is a relaxed structure of SrAlGa from the Alexandria database. Energies are from PBEsol.

Cell and atoms, written as POSCAR:
```
SrAlGa
1.0
4.359 0.000 0.000
-2.179 3.775 0.000
0.000 0.000 4.741
Sr Al Ga
1 1 1
Direct
0.000 0.000 0.000
0.667 0.333 0.500
0.333 0.667 0.500
```

* formation energy from the elements: -36.2 kJ/mol of atoms
* total magnetic moment: 0.00 μB/f.u.
* E: -3.47 eV per atom

---

(6)
Here is a relaxed structure of SrAlGa from the Alexandria database. Energies are from PBEsol.

Cell and atoms, written as POSCAR:
```
SrAlGa
1.0
4.342 0.000 0.000
0.000 4.342 0.000
0.000 0.000 7.697
Sr Al Ga
2 2 2
Direct
0.250 0.250 0.171
0.750 0.750 0.829
0.250 0.750 0.500
0.750 0.250 0.500
0.250 0.250 0.709
0.750 0.750 0.291
```

* formation energy from the elements: -40.0 kJ/mol of atoms
* total magnetic moment: 0.00 μB/f.u.
* E: -3.51 eV per atom

---

(7)
Here is a relaxed structure of SrAl2Ga2 from the Alexandria database. Energies are from PBEsol.

Cell and atoms, written as POSCAR:
```
SrAl2Ga2
1.0
-2.158 2.158 5.504
2.158 -2.158 5.504
2.158 2.158 -5.504
Sr Al Ga
1 2 2
Direct
0.000 0.000 0.000
0.250 0.750 0.500
0.750 0.250 0.500
0.385 0.385 0.000
0.615 0.615 0.000
```

* formation energy from the elements: -38.2 kJ/mol of atoms
* total magnetic moment: 0.00 μB/f.u.
* E: -3.74 eV per atom

---

(8)
Here is a relaxed structure of TaAl2Ga from the Alexandria database. Energies are from PBEsol.

Cell and atoms, written as POSCAR:
```
TaAl2Ga
1.0
-3.607 3.607 2.640
3.607 -3.607 2.640
3.607 3.607 -2.640
Ta Al Ga
2 4 2
Direct
0.000 0.000 0.000
0.750 0.250 0.500
0.150 0.125 0.525
0.375 0.850 0.975
0.600 0.625 0.475
0.875 0.400 0.025
0.250 0.750 0.500
0.500 0.500 0.000
```

* formation energy from the elements: 28.7 kJ/mol of atoms
* total magnetic moment: 0.00 μB/f.u.
* E: -5.72 eV per atom

---

(9)
Here is a relaxed structure of AlGaTe2 from the Alexandria database. Energies are from PBEsol.

Cell and atoms, written as POSCAR:
```
AlGaTe2
1.0
-3.733 3.733 4.256
3.733 -3.733 4.256
3.733 3.733 -4.256
Al Ga Te
2 2 4
Direct
0.000 0.000 0.000
0.750 0.250 0.500
0.250 0.750 0.500
0.500 0.500 0.000
0.077 0.625 0.952
0.375 0.327 0.452
0.673 0.125 0.048
0.875 0.923 0.548
```

* uncorrected formation energy: -0.7 eV/f.u.
* total magnetic moment: 0.00 μB/f.u.
* E: -3.80 eV per atom

---

(10)
Here is a relaxed structure of Al2GaTe from the Alexandria database. Energies are from PBEsol.

Cell and atoms, written as POSCAR:
```
Al2GaTe
1.0
-3.039 3.039 5.909
3.039 -3.039 5.909
3.039 3.039 -5.909
Al Ga Te
4 2 2
Direct
0.091 0.625 0.966
0.375 0.341 0.466
0.659 0.125 0.034
0.875 0.909 0.534
0.000 0.000 0.000
0.750 0.250 0.500
0.250 0.750 0.500
0.500 0.500 0.000
```

* uncorrected formation energy: 0.4 eV/f.u.
* total magnetic moment: 0.00 μB/f.u.
* E: -3.66 eV per atom

---

Q: Which formula does entry 1 have?
A: Al2Ga2Sn

---

Q: Which value of E does entry 3 give?
A: -3.80 eV per atom